1.
Computed, not measured: crystalline TaTcAgO6 at its relaxed geometry at the GGA-PBE level of DFT.

Geometry as POSCAR:
```
TaTcAgO6
1.0
5.2570 0.0000 0.0000
-2.6285 4.5527 0.0000
0.0000 0.0000 9.9299
O Ag Ta Tc
12 2 2 2
direct
0.6220 0.6295 0.1412
0.3780 0.3705 0.8588
0.3780 0.0074 0.6412
0.6220 0.9926 0.3588
0.3705 0.3780 0.3588
0.3705 0.9926 0.1412
0.0074 0.3780 0.1412
0.6295 0.0074 0.8588
0.0074 0.6295 0.3588
0.9926 0.6220 0.8588
0.6295 0.6220 0.6412
0.9926 0.3705 0.6412
0.0000 0.0000 0.5000
0.0000 0.0000 0.0000
0.6667 0.3333 0.2500
0.3333 0.6667 0.7500
0.3333 0.6667 0.2500
0.6667 0.3333 0.7500
```

Size of the total moment (Bohr magnetons per cell): 2.03
Crystal system: trigonal
ΔE_f (raw) (eV per atom): -1.602

2.
Computed, not measured: crystalline TaAg2TeO6 at its relaxed geometry at the GGA-PBE level of DFT.

Geometry as POSCAR:
```
TaAg2TeO6
1.0
4.0617 0.0000 0.0000
0.0000 5.7035 0.0000
0.0000 0.0000 5.7035
O Ag Ta Te
6 2 1 1
direct
0.6563 0.2535 0.2535
0.6563 0.7465 0.2535
0.6563 0.7465 0.7465
0.1477 0.5000 0.5000
0.1483 0.0000 0.0000
0.6563 0.2535 0.7465
0.1306 0.0000 0.5000
0.1306 0.5000 0.0000
0.6164 0.5000 0.5000
0.6480 0.0000 0.0000
```

Size of the total moment (Bohr magnetons per cell): 0.00
Crystal system: tetragonal
ΔE_f (raw) (eV per atom): -1.224

3.
Computed, not measured: crystalline TaAgTe2O8 at its relaxed geometry at the GGA-PBE level of DFT.

Geometry as POSCAR:
```
TaAgTe2O8
1.0
-4.5067 -1.6021 -3.0444
-1.7260 -6.3179 0.6002
-4.8437 -3.1497 3.5481
O Te Ag Ta
8 2 1 1
direct
0.3655 0.0361 0.7446
0.1462 0.9639 0.2554
0.0955 0.5939 0.2151
0.3275 0.5053 0.8398
0.6345 0.9639 0.2554
0.6725 0.4947 0.1602
0.8538 0.0361 0.7446
0.9045 0.4061 0.7849
0.2743 0.2268 0.2246
0.7257 0.7732 0.7754
0.5000 0.5000 0.5000
0.0000 0.0000 0.0000
```

Size of the total moment (Bohr magnetons per cell): 0.54
Crystal system: monoclinic
ΔE_f (raw) (eV per atom): -1.168

4.
Computed, not measured: crystalline TaTi2AgO8 at its relaxed geometry at the GGA-PBE level of DFT.

Geometry as POSCAR:
```
TaTi2AgO8
1.0
-0.3180 -1.7916 -4.4018
4.4692 -1.5954 0.4475
-1.8845 -5.3197 2.5804
O Ti Ta Ag
8 2 1 1
direct
0.3181 0.3189 0.4999
0.3040 0.3047 0.0001
0.7762 0.2228 0.7888
0.1931 0.8076 0.7641
0.6819 0.6811 0.5001
0.2238 0.7772 0.2112
0.6960 0.6953 0.9999
0.8069 0.1924 0.2359
0.5038 0.4968 0.7483
0.4962 0.5032 0.2517
0.0000 0.0000 0.0000
0.0000 0.0000 0.5000
```

Size of the total moment (Bohr magnetons per cell): 0.00
Crystal system: monoclinic
ΔE_f (raw) (eV per atom): -2.245

5.
Computed, not measured: crystalline Ta2Tl2AgO7 at its relaxed geometry at the GGA-PBE level of DFT.

Geometry as POSCAR:
```
Ta2Tl2AgO7
1.0
-3.9781 0.2585 -0.2955
-0.3936 -3.8515 0.9950
-1.8719 1.7720 10.8426
Ag Ta Tl O
1 2 2 7
direct
0.0000 0.0000 0.0000
0.4239 0.4239 0.1816
0.5761 0.5761 0.8184
0.8165 0.8165 0.3949
0.1835 0.1835 0.6051
0.4470 0.9415 0.1826
0.5530 0.0585 0.8174
0.5964 0.5964 0.6355
0.0585 0.5530 0.8174
0.4036 0.4036 0.3645
0.9415 0.4470 0.1826
0.5000 0.5000 0.0000
```

Size of the total moment (Bohr magnetons per cell): 0.00
Crystal system: monoclinic
ΔE_f (raw) (eV per atom): -1.799

6.
Computed, not measured: crystalline UTaAgO6 at its relaxed geometry at the GGA-PBE level of DFT.

Geometry as POSCAR:
```
UTaAgO6
1.0
5.5829 0.0000 0.0000
-2.7915 4.8350 0.0000
0.0000 0.0000 10.0358
O Ta U Ag
12 2 2 2
direct
0.6184 0.9882 0.3564
0.0118 0.6302 0.3564
0.3698 0.9882 0.1436
0.6184 0.6302 0.1436
0.6302 0.0118 0.8564
0.3698 0.3816 0.3564
0.3816 0.3698 0.8564
0.0118 0.3816 0.1436
0.9882 0.6184 0.8564
0.3816 0.0118 0.6436
0.9882 0.3698 0.6436
0.6302 0.6184 0.6436
0.3333 0.6667 0.2500
0.6667 0.3333 0.7500
0.6667 0.3333 0.2500
0.3333 0.6667 0.7500
0.0000 0.0000 0.5000
0.0000 0.0000 0.0000
```

Size of the total moment (Bohr magnetons per cell): 0.00
Crystal system: trigonal
ΔE_f (raw) (eV per atom): -2.441